Entry 1:
An optimized crystal structure of BaLi12Cd6, computed with PBE-GGA.

abc: 7.761 7.761 7.761
angles: 102.35 102.35 102.35
Sites, in units of the cell vectors:
Ba1 0.000 0.000 0.000
Li1 0.111 0.500 0.889
Li2 0.111 0.889 0.500
Li3 0.134 0.420 0.420
Li4 0.420 0.134 0.420
Li5 0.420 0.420 0.134
Li6 0.500 0.111 0.889
Li7 0.500 0.889 0.111
Li8 0.580 0.580 0.866
Li9 0.580 0.866 0.580
Li10 0.866 0.580 0.580
Li11 0.889 0.111 0.500
Li12 0.889 0.500 0.111
Cd1 0.265 0.265 0.707
Cd2 0.265 0.707 0.265
Cd3 0.293 0.735 0.735
Cd4 0.707 0.265 0.265
Cd5 0.735 0.293 0.735
Cd6 0.735 0.735 0.293

Results
* theoretical density: 3.46 Mg/m³



Entry 2:
An optimized crystal structure of Ba4Li2Cd, computed with PBE-GGA.

abc: 10.484 10.484 10.484
angles: 33.93 33.93 33.93
Sites, in units of the cell vectors:
Ba1 0.124 0.124 0.124
Ba2 0.375 0.375 0.375
Ba3 0.625 0.625 0.625
Ba4 0.876 0.876 0.876
Li1 0.254 0.254 0.254
Li2 0.746 0.746 0.746
Cd1 0.000 0.000 0.000

Results
* theoretical density: 3.51 Mg/m³



Entry 3:
An optimized crystal structure of BaLiCd4, computed with PBE-GGA.

abc: 4.957 4.957 7.485
angles: 90.00 90.00 90.00
Sites, in units of the cell vectors:
Ba1 0.000 0.000 0.000
Li1 0.500 0.500 0.500
Cd1 0.000 0.500 0.500
Cd2 0.500 0.000 0.500
Cd3 0.500 0.500 0.183
Cd4 0.500 0.500 0.817

Results
* polymorph energy (0 for the lowest one): 1.37 eV per formula unit
* theoretical density: 5.36 Mg/m³



Entry 4:
An optimized crystal structure of Ba3LiCd2, computed with PBE-GGA.

abc: 4.294 4.294 13.002
angles: 90.00 90.00 90.00
Sites, in units of the cell vectors:
Ba1 0.000 0.000 0.000
Ba2 0.000 0.000 0.323
Ba3 0.000 0.000 0.677
Li1 0.500 0.500 0.500
Cd1 0.500 0.500 0.168
Cd2 0.500 0.500 0.832

Results
* theoretical density: 4.46 Mg/m³



Entry 5:
An optimized crystal structure of BaLiCd2, computed with PBE-GGA.

abc: 5.332 5.332 4.555
angles: 90.00 90.00 90.00
Sites, in units of the cell vectors:
Ba1 0.000 0.000 0.000
Li1 0.500 0.500 0.000
Cd1 0.000 0.500 0.500
Cd2 0.500 0.000 0.500

Results
* polymorph energy (0 for the lowest one): 0.73 eV per formula unit
* theoretical density: 4.73 Mg/m³



Entry 6:
An optimized crystal structure of Ba2Li12Cd5, computed with PBE-GGA.

abc: 7.734 7.734 7.734
angles: 83.92 83.92 83.92
Sites, in units of the cell vectors:
Ba1 0.151 0.151 0.151
Ba2 0.849 0.849 0.849
Li1 0.164 0.164 0.620
Li2 0.164 0.620 0.164
Li3 0.225 0.500 0.775
Li4 0.225 0.775 0.500
Li5 0.380 0.836 0.836
Li6 0.500 0.225 0.775
Li7 0.500 0.775 0.225
Li8 0.620 0.164 0.164
Li9 0.775 0.225 0.500
Li10 0.775 0.500 0.225
Li11 0.836 0.380 0.836
Li12 0.836 0.836 0.380
Cd1 0.000 0.500 0.500
Cd2 0.398 0.398 0.398
Cd3 0.500 0.000 0.500
Cd4 0.500 0.500 0.000
Cd5 0.602 0.602 0.602

Results
* theoretical density: 3.36 Mg/m³



Entry 7:
An optimized crystal structure of BaLi7Cd12, computed with PBE-GGA.

abc: 8.696 8.696 8.696
angles: 112.15 112.15 112.15
Sites, in units of the cell vectors:
Ba1 0.000 0.000 0.000
Li1 0.188 0.188 0.540
Li2 0.188 0.540 0.188
Li3 0.460 0.812 0.812
Li4 0.500 0.500 0.500
Li5 0.540 0.188 0.188
Li6 0.812 0.460 0.812
Li7 0.812 0.812 0.460
Cd1 0.000 0.265 0.735
Cd2 0.000 0.735 0.265
Cd3 0.098 0.424 0.424
Cd4 0.265 0.000 0.735
Cd5 0.265 0.735 0.000
Cd6 0.424 0.098 0.424
Cd7 0.424 0.424 0.098
Cd8 0.576 0.576 0.902
Cd9 0.576 0.902 0.576
Cd10 0.735 0.000 0.265
Cd11 0.735 0.265 0.000
Cd12 0.902 0.576 0.576

Results
* theoretical density: 5.68 Mg/m³



Entry 8:
An optimized crystal structure of BaLi2Cd2, computed with PBE-GGA.

abc: 7.482 7.482 7.482
angles: 144.05 144.05 51.75
Sites, in units of the cell vectors:
Ba1 0.000 0.000 0.000
Li1 0.250 0.750 0.500
Li2 0.750 0.250 0.500
Cd1 0.380 0.380 0.000
Cd2 0.620 0.620 0.000

Results
* polymorph energy (0 for the lowest one): 0.00 eV per formula unit
* theoretical density: 4.35 Mg/m³



no.,formation enthalpy at 0 K (eV/atom)
1,-0.11
2,-0.01
3,0.01
4,-0.21
5,-0.08
6,-0.14
7,-0.15
8,-0.20